Material: TlFeCl2F
Method: DFT, GGA+U
State: optimized geometry

Results
Uncorrected energy, eV/atom: -4.1778
Energy above the lowest structure with this stoichiometry, meV/atom: 0.0
D(E_F), states/eV per cell: 0.000
Volume, Å³/cell: 109.6

Geometry as CIF:
```
data_TlFeCl2F
_chemical_formula_sum 'Tl1 Fe1 Cl2 F1'
_symmetry_space_group_name_H-M 'P 4/m m m'
_symmetry_Int_Tables_number 123
_symmetry_space_group_name_Hall '-P 4 2'
_cell_length_a 5.212
_cell_length_b 5.212
_cell_length_c 4.036
_cell_angle_alpha 90.00
_cell_angle_beta 90.00
_cell_angle_gamma 90.00
loop_
_atom_site_label
_atom_site_type_symbol
_atom_site_fract_x
_atom_site_fract_y
_atom_site_fract_z
Tl1 Tl 0.000 0.000 0.000
Fe1 Fe 0.500 0.500 0.500
Cl1 Cl 0.000 0.500 0.500
F1 F 0.500 0.500 0.000
```